No. 1
# Zn2CrMo PBE relaxed
# theoretical density = 8.14 Mg/m³
# calculated volume = 56.87 Å³/cell
# magnetic moment = 0.4 Bohr magnetons per cell
# energy above the lowest structure with this stoichiometry = 200 meV/atom
# formation energy = 0.3340 eV per atom
data_Zn2CrMo
_cell_length_a 9.083
_cell_length_b 9.083
_cell_length_c 9.083
_cell_angle_alpha 17.15
_cell_angle_beta 17.15
_cell_angle_gamma 17.15
_symmetry_space_group_name_H-M 'P 1'
_symmetry_Int_Tables_number 1
_symmetry_space_group_name_Hall 'P 1'
loop_
_atom_site_label
_atom_site_type_symbol
_atom_site_fract_x
_atom_site_fract_y
_atom_site_fract_z
Zn1 Zn 0.247 0.247 0.247
Zn2 Zn 0.753 0.753 0.753
Cr1 Cr 0.500 0.500 0.500
Mo1 Mo 0.000 0.000 0.000

---

No. 2
# TbHfAl PBE relaxed
# theoretical density = 8.72 Mg/m³
# calculated volume = 69.43 Å³/cell
# magnetic moment = 0.0 Bohr magnetons per cell
# energy above the lowest structure with this stoichiometry = 0 meV/atom
# formation energy = -0.1599 eV per atom
data_TbHfAl
_cell_length_a 6.867
_cell_length_b 6.867
_cell_length_c 6.867
_cell_angle_alpha 152.39
_cell_angle_beta 152.39
_cell_angle_gamma 39.44
_symmetry_space_group_name_H-M 'P 1'
_symmetry_Int_Tables_number 1
_symmetry_space_group_name_Hall 'P 1'
loop_
_atom_site_label
_atom_site_type_symbol
_atom_site_fract_x
_atom_site_fract_y
_atom_site_fract_z
Tb1 Tb 0.000 0.000 0.000
Hf1 Hf 0.314 0.314 0.000
Al1 Al 0.670 0.670 0.000

---

No. 3
# Tm3ScCd12 PBE relaxed
# theoretical density = 8.50 Mg/m³
# calculated volume = 371.17 Å³/cell
# magnetic moment = 0.0 Bohr magnetons per cell
# formation energy = -0.2161 eV per atom
data_Tm3ScCd12
_cell_length_a 4.443
_cell_length_b 4.443
_cell_length_c 18.802
_cell_angle_alpha 90.00
_cell_angle_beta 90.00
_cell_angle_gamma 90.00
_symmetry_space_group_name_H-M 'P 1'
_symmetry_Int_Tables_number 1
_symmetry_space_group_name_Hall 'P 1'
loop_
_atom_site_label
_atom_site_type_symbol
_atom_site_fract_x
_atom_site_fract_y
_atom_site_fract_z
Tm1 Tm 0.000 0.000 0.000
Tm2 Tm 0.000 0.000 0.253
Tm3 Tm 0.000 0.000 0.747
Sc1 Sc 0.000 0.000 0.500
Cd1 Cd 0.000 0.500 0.127
Cd2 Cd 0.000 0.500 0.379
Cd3 Cd 0.000 0.500 0.621
Cd4 Cd 0.000 0.500 0.873
Cd5 Cd 0.500 0.000 0.127
Cd6 Cd 0.500 0.000 0.379
Cd7 Cd 0.500 0.000 0.621
Cd8 Cd 0.500 0.000 0.873
Cd9 Cd 0.500 0.500 0.000
Cd10 Cd 0.500 0.500 0.253
Cd11 Cd 0.500 0.500 0.500
Cd12 Cd 0.500 0.500 0.747

---

No. 4
# HPdF3 PBE relaxed
# theoretical density = 3.99 Mg/m³
# calculated volume = 68.43 Å³/cell
# magnetic moment = 0.7 Bohr magnetons per cell
# energy above the lowest structure with this stoichiometry = 0 meV/atom
data_HPdF3
_cell_length_a 4.090
_cell_length_b 4.090
_cell_length_c 4.090
_cell_angle_alpha 90.00
_cell_angle_beta 90.00
_cell_angle_gamma 90.00
_symmetry_space_group_name_H-M 'P 1'
_symmetry_Int_Tables_number 1
_symmetry_space_group_name_Hall 'P 1'
loop_
_atom_site_label
_atom_site_type_symbol
_atom_site_fract_x
_atom_site_fract_y
_atom_site_fract_z
H1 H 0.000 0.000 0.000
Pd1 Pd 0.500 0.500 0.500
F1 F 0.000 0.500 0.500
F2 F 0.500 0.000 0.500
F3 F 0.500 0.500 0.000

---

No. 5
# Ho2Ga4PdAu3 PBE relaxed
# theoretical density = 11.07 Mg/m³
# calculated volume = 195.96 Å³/cell
# magnetic moment = 0.0 Bohr magnetons per cell
# formation energy = -0.6341 eV per atom
data_Ho2Ga4PdAu3
_cell_length_a 4.208
_cell_length_b 4.208
_cell_length_c 11.068
_cell_angle_alpha 90.00
_cell_angle_beta 90.00
_cell_angle_gamma 90.00
_symmetry_space_group_name_H-M 'P 1'
_symmetry_Int_Tables_number 1
_symmetry_space_group_name_Hall 'P 1'
loop_
_atom_site_label
_atom_site_type_symbol
_atom_site_fract_x
_atom_site_fract_y
_atom_site_fract_z
Ho1 Ho 0.000 0.500 0.245
Ho2 Ho 0.500 0.000 0.755
Ga1 Ga 0.000 0.000 0.500
Ga2 Ga 0.000 0.500 0.869
Ga3 Ga 0.500 0.000 0.131
Ga4 Ga 0.500 0.500 0.500
Pd1 Pd 0.500 0.500 0.000
Au1 Au 0.000 0.000 0.000
Au2 Au 0.000 0.500 0.644
Au3 Au 0.500 0.000 0.356

---

No. 6
# CsMg4Sn3 PBE relaxed
# theoretical density = 4.08 Mg/m³
# calculated volume = 238.68 Å³/cell
# magnetic moment = 0.0 Bohr magnetons per cell
# formation energy = -0.1935 eV per atom
data_CsMg4Sn3
_cell_length_a 5.041
_cell_length_b 5.041
_cell_length_c 9.392
_cell_angle_alpha 90.00
_cell_angle_beta 90.00
_cell_angle_gamma 90.00
_symmetry_space_group_name_H-M 'P 1'
_symmetry_Int_Tables_number 1
_symmetry_space_group_name_Hall 'P 1'
loop_
_atom_site_label
_atom_site_type_symbol
_atom_site_fract_x
_atom_site_fract_y
_atom_site_fract_z
Cs1 Cs 0.000 0.000 0.000
Mg1 Mg 0.000 0.500 0.321
Mg2 Mg 0.000 0.500 0.679
Mg3 Mg 0.500 0.000 0.321
Mg4 Mg 0.500 0.000 0.679
Sn1 Sn 0.000 0.000 0.500
Sn2 Sn 0.500 0.500 0.155
Sn3 Sn 0.500 0.500 0.845

---

No. 7
# PrAl4Pd2 PBE relaxed
# theoretical density = 5.96 Mg/m³
# calculated volume = 257.29 Å³/cell
# magnetic moment = 0.0 Bohr magnetons per cell
# energy above the lowest structure with this stoichiometry = 57 meV/atom
# formation energy = -0.6866 eV per atom
data_PrAl4Pd2
_cell_length_a 7.892
_cell_length_b 7.892
_cell_length_c 4.131
_cell_angle_alpha 90.00
_cell_angle_beta 90.00
_cell_angle_gamma 90.00
_symmetry_space_group_name_H-M 'P 1'
_symmetry_Int_Tables_number 1
_symmetry_space_group_name_Hall 'P 1'
loop_
_atom_site_label
_atom_site_type_symbol
_atom_site_fract_x
_atom_site_fract_y
_atom_site_fract_z
Pr1 Pr 0.000 0.000 0.000
Pr2 Pr 0.500 0.500 0.500
Al1 Al 0.083 0.339 0.500
Al2 Al 0.161 0.583 0.000
Al3 Al 0.339 0.083 0.500
Al4 Al 0.417 0.839 0.000
Al5 Al 0.583 0.161 0.000
Al6 Al 0.661 0.917 0.500
Al7 Al 0.839 0.417 0.000
Al8 Al 0.917 0.661 0.500
Pd1 Pd 0.220 0.780 0.500
Pd2 Pd 0.280 0.280 0.000
Pd3 Pd 0.720 0.720 0.000
Pd4 Pd 0.780 0.220 0.500

---

No. 8
# AlZnAu PBE relaxed
# theoretical density = 9.57 Mg/m³
# calculated volume = 50.21 Å³/cell
# magnetic moment = 0.0 Bohr magnetons per cell
# formation energy = -0.1510 eV per atom
data_AlZnAu
_cell_length_a 3.029
_cell_length_b 3.029
_cell_length_c 6.320
_cell_angle_alpha 90.00
_cell_angle_beta 90.00
_cell_angle_gamma 120.00
_symmetry_space_group_name_H-M 'P 1'
_symmetry_Int_Tables_number 1
_symmetry_space_group_name_Hall 'P 1'
loop_
_atom_site_label
_atom_site_type_symbol
_atom_site_fract_x
_atom_site_fract_y
_atom_site_fract_z
Al1 Al 0.000 0.000 0.000
Zn1 Zn 0.333 0.667 0.667
Au1 Au 0.667 0.333 0.324

---

No. 9
# Ca3Al2O6 PBE relaxed
# theoretical density = 3.45 Mg/m³
# ΔE_f (raw) = -2.97 eV per atom
# calculated volume = 130.05 Å³/cell
# magnetic moment = 0.0 Bohr magnetons per cell
# energy above the lowest structure with this stoichiometry = 0 meV/atom
data_Ca3Al2O6
_cell_length_a 9.893
_cell_length_b 9.893
_cell_length_c 9.893
_cell_angle_alpha 158.49
_cell_angle_beta 158.49
_cell_angle_gamma 30.60
_symmetry_space_group_name_H-M 'P 1'
_symmetry_Int_Tables_number 1
_symmetry_space_group_name_Hall 'P 1'
loop_
_atom_site_label
_atom_site_type_symbol
_atom_site_fract_x
_atom_site_fract_y
_atom_site_fract_z
Ca1 Ca 0.000 0.000 0.000
Ca2 Ca 0.183 0.183 0.000
Ca3 Ca 0.817 0.817 0.000
Al1 Al 0.397 0.397 0.000
Al2 Al 0.603 0.603 0.000
O1 O 0.083 0.583 0.500
O2 O 0.303 0.303 0.000
O3 O 0.417 0.917 0.500
O4 O 0.583 0.083 0.500
O5 O 0.697 0.697 0.000
O6 O 0.917 0.417 0.500

---

No. 10
# LaPrSnPd PBE relaxed
# theoretical density = 7.51 Mg/m³
# calculated volume = 111.59 Å³/cell
# magnetic moment = 0.0 Bohr magnetons per cell
# formation energy = -0.6830 eV per atom
data_LaPrSnPd
_cell_length_a 5.404
_cell_length_b 5.404
_cell_length_c 5.404
_cell_angle_alpha 60.00
_cell_angle_beta 60.00
_cell_angle_gamma 60.00
_symmetry_space_group_name_H-M 'P 1'
_symmetry_Int_Tables_number 1
_symmetry_space_group_name_Hall 'P 1'
loop_
_atom_site_label
_atom_site_type_symbol
_atom_site_fract_x
_atom_site_fract_y
_atom_site_fract_z
La1 La 0.000 0.000 0.000
Pr1 Pr 0.500 0.500 0.500
Sn1 Sn 0.250 0.250 0.250
Pd1 Pd 0.750 0.750 0.750

---

No. 11
# FeCuAg2 PBE relaxed
# theoretical density = 9.12 Mg/m³
# calculated volume = 61.02 Å³/cell
# magnetic moment = 2.9 Bohr magnetons per cell
# energy above the lowest structure with this stoichiometry = 112 meV/atom
# formation energy = 0.3270 eV per atom
data_FeCuAg2
_cell_length_a 5.390
_cell_length_b 5.390
_cell_length_c 5.390
_cell_angle_alpha 149.73
_cell_angle_beta 128.78
_cell_angle_gamma 60.66
_symmetry_space_group_name_H-M 'P 1'
_symmetry_Int_Tables_number 1
_symmetry_space_group_name_Hall 'P 1'
loop_
_atom_site_label
_atom_site_type_symbol
_atom_site_fract_x
_atom_site_fract_y
_atom_site_fract_z
Fe1 Fe 0.000 0.000 0.000
Cu1 Cu 0.222 0.722 0.500
Ag1 Ag 0.469 0.469 0.000
Ag2 Ag 0.743 0.243 0.500

---

No. 12
# Ca2InRh PBE relaxed
# theoretical density = 5.10 Mg/m³
# calculated volume = 97.04 Å³/cell
# magnetic moment = 0.0 Bohr magnetons per cell
# formation energy = -0.3915 eV per atom
data_Ca2InRh
_cell_length_a 3.492
_cell_length_b 3.492
_cell_length_c 7.960
_cell_angle_alpha 90.00
_cell_angle_beta 90.00
_cell_angle_gamma 90.00
_symmetry_space_group_name_H-M 'P 1'
_symmetry_Int_Tables_number 1
_symmetry_space_group_name_Hall 'P 1'
loop_
_atom_site_label
_atom_site_type_symbol
_atom_site_fract_x
_atom_site_fract_y
_atom_site_fract_z
Ca1 Ca 0.000 0.000 0.209
Ca2 Ca 0.000 0.000 0.791
In1 In 0.500 0.500 0.500
Rh1 Rh 0.500 0.500 0.000

---

No. 13
# CuRhAuBr2 PBE relaxed
# theoretical density = 6.84 Mg/m³
# ΔE_f (raw) = 0.61 eV per atom
# calculated volume = 127.01 Å³/cell
# magnetic moment = 0.0 Bohr magnetons per cell
data_CuRhAuBr2
_cell_length_a 4.927
_cell_length_b 4.927
_cell_length_c 5.232
_cell_angle_alpha 90.00
_cell_angle_beta 90.00
_cell_angle_gamma 90.00
_symmetry_space_group_name_H-M 'P 1'
_symmetry_Int_Tables_number 1
_symmetry_space_group_name_Hall 'P 1'
loop_
_atom_site_label
_atom_site_type_symbol
_atom_site_fract_x
_atom_site_fract_y
_atom_site_fract_z
Cu1 Cu 0.000 0.000 0.000
Rh1 Rh 0.500 0.500 0.500
Au1 Au 0.500 0.500 0.000
Br1 Br 0.000 0.500 0.500
Br2 Br 0.500 0.000 0.500

---

No. 14
# Dy6ErNi3 PBE relaxed
# theoretical density = 8.77 Mg/m³
# calculated volume = 499.21 Å³/cell
# magnetic moment = 0.0 Bohr magnetons per cell
# formation energy = -0.2333 eV per atom
data_Dy6ErNi3
_cell_length_a 8.492
_cell_length_b 8.492
_cell_length_c 7.021
_cell_angle_alpha 90.00
_cell_angle_beta 90.00
_cell_angle_gamma 99.61
_symmetry_space_group_name_H-M 'P 1'
_symmetry_Int_Tables_number 1
_symmetry_space_group_name_Hall 'P 1'
loop_
_atom_site_label
_atom_site_type_symbol
_atom_site_fract_x
_atom_site_fract_y
_atom_site_fract_z
Dy1 Dy 0.033 0.967 0.500
Dy2 Dy 0.034 0.419 0.660
Dy3 Dy 0.226 0.774 0.849
Dy4 Dy 0.297 0.370 0.012
Dy5 Dy 0.370 0.297 0.512
Dy6 Dy 0.419 0.034 0.160
Dy7 Dy 0.581 0.966 0.660
Dy8 Dy 0.630 0.703 0.012
Dy9 Dy 0.703 0.630 0.512
Dy10 Dy 0.774 0.226 0.349
Dy11 Dy 0.966 0.581 0.160
Dy12 Dy 0.967 0.033 0.000
Er1 Er 0.322 0.678 0.387
Er2 Er 0.678 0.322 0.887
Ni1 Ni 0.089 0.300 0.294
Ni2 Ni 0.300 0.089 0.794
Ni3 Ni 0.417 0.583 0.719
Ni4 Ni 0.583 0.417 0.219
Ni5 Ni 0.700 0.911 0.294
Ni6 Ni 0.911 0.700 0.794